1.
First-principles (PBE) data for a geometry-optimized TlGa2Hg2 structure, as listed in Alexandria via LeMat-Bulk.

Computed properties:
energy of formation from the pure elements = 58 meV/atom
calculated volume = 245 Å³ per cell
excess energy over the best structure of this formula in the dataset = 21.9 kJ/mol of formula units

Lattice parameters (Å, degrees): 8.366 8.366 3.495 90.00 90.00 90.00
Sites, in units of the cell vectors:
Hg 0.676 0.824 0.500
Hg 0.176 0.676 0.500
Hg 0.824 0.324 0.500
Hg 0.324 0.176 0.500
Ga 0.379 0.879 0.000
Ga 0.621 0.121 0.000
Ga 0.121 0.379 0.000
Ga 0.879 0.621 0.000
Tl 0.500 0.500 0.000
Tl 0.000 0.000 0.000

=====

2.
First-principles (PBE) data for a geometry-optimized Tl2GaHg3 structure, as listed in Alexandria via LeMat-Bulk.

Computed properties:
energy of formation from the pure elements = 44 meV/atom
calculated volume = 331 Å³ per cell
excess energy over the best structure of this formula in the dataset = 10.6 kJ/mol of formula units

Lattice parameters (Å, degrees): 3.480 6.412 14.930 90.00 96.69 90.00
Sites, in units of the cell vectors:
Ga 0.338 0.750 0.677
Ga 0.662 0.250 0.323
Hg 0.415 0.009 0.831
Hg 0.585 0.509 0.169
Hg 0.238 0.250 0.477
Hg 0.762 0.750 0.523
Hg 0.585 0.991 0.169
Hg 0.415 0.491 0.831
Tl 0.998 0.750 0.996
Tl 0.171 0.750 0.341
Tl 0.829 0.250 0.659
Tl 0.002 0.250 0.004

=====

What is the excess energy over the best structure of this formula in the dataset in the first record? 21.9 kJ/mol of formula units

=====

Which of these has the lowest energy of formation from the pure elements? Tl2GaHg3